Record 1
CrInSb after structural relaxation, computed with PBE.

Geometry as POSCAR:
```
CrInSb
1.0
3.287 0.000 0.000
-1.644 2.847 0.000
0.000 0.000 6.654
Cr In Sb
1 1 1
direct
0.000 0.000 0.000 Cr
0.667 0.333 0.307 In
0.333 0.667 0.728 Sb
```

Raw formation energy: 38.3 kJ/mol of atoms
Distance to the lowest polymorph of the same formula: 220.5 meV per atom
SG: P3m1, No. 156

=====

Record 2
Tb2SmSc after structural relaxation, computed with PBE.

Geometry as POSCAR:
```
Tb2SmSc
1.0
0.000 3.946 3.946
3.946 0.000 3.946
3.946 3.946 0.000
Tb Sm Sc
2 1 1
direct
0.250 0.250 0.250 Tb
0.750 0.750 0.750 Tb
0.000 0.000 0.000 Sm
0.500 0.500 0.500 Sc
```

E_form: 151 meV per atom
Distance to the lowest polymorph of the same formula: 116.7 meV per atom
SG: Fm-3m, No. 225